# 1
Computed, not measured: crystalline LaZr2Al6 at its relaxed geometry at the PBE level of DFT.

It has space group Immm (No. 71), with a = 4.2960 Å, b = 7.1177 Å, c = 12.9461 Å, α = 90.00°, β = 90.00° and γ = 90.00°. The distinct sites, in fractional coordinates, are La at (0.0000, 0.0000, 0.0000), Zr at (0.0000, 0.5000, 0.1192), Al at (0.0000, 0.1760, 0.5000) and Al at (0.0000, 0.2898, 0.3087).

The energy relative to the elements is -307 meV/atom. The calculated volume is 22.0 A^3/atom.



# 2
Computed, not measured: crystalline LaZrAl2 at its relaxed geometry at the PBE level of DFT.

It has space group P4/mmm (No. 123), with a = 3.2387 Å, b = 3.2387 Å, c = 8.5797 Å, α = 90.00°, β = 90.00° and γ = 90.00°. The distinct sites, in fractional coordinates, are La at (0.0000, 0.0000, 0.0000), Zr at (0.0000, 0.0000, 0.5000) and Al at (0.5000, 0.5000, 0.2767).

The polymorph energy (0 for the lowest one) is 2.0 kJ/mol of atoms. The energy relative to the elements is -340 meV/atom. The calculated volume is 22.5 A^3/atom.



# 3
Computed, not measured: crystalline LaZrAl2 at its relaxed geometry at the PBE level of DFT.

It has space group Amm2 (No. 38), with a = 4.5138 Å, b = 3.4418 Å, c = 12.0602 Å, α = 90.00°, β = 90.00° and γ = 90.00°. The distinct sites, in fractional coordinates, are La at (0.0000, 0.0000, 0.0000), Zr at (0.5000, 0.0000, 0.6930), Al at (0.0000, 0.0000, 0.2659) and Al at (0.5000, 0.0000, 0.3918).

The polymorph energy (0 for the lowest one) is 8.8 kJ/mol of atoms. The energy relative to the elements is -270 meV/atom. The calculated volume is 23.4 A^3/atom.



# 4
Computed, not measured: crystalline LaZrAl2 at its relaxed geometry at the PBE level of DFT.

It has space group F-43m (No. 216), with a = 7.0753 Å, b = 7.0753 Å, c = 7.0753 Å, α = 90.00°, β = 90.00° and γ = 90.00°. The distinct sites, in fractional coordinates, are La at (0.0000, 0.0000, 0.0000), Zr at (0.2500, 0.2500, 0.2500), Al at (0.0000, 0.0000, 0.5000) and Al at (0.2500, 0.2500, 0.7500).

The polymorph energy (0 for the lowest one) is 46.1 kJ/mol of atoms. The energy relative to the elements is 116 meV/atom. The calculated volume is 22.1 A^3/atom.



# 5
Computed, not measured: crystalline LaZrAl2 at its relaxed geometry at the PBE level of DFT.

It has space group Pmmm (No. 47), with a = 3.2414 Å, b = 4.1419 Å, c = 6.8551 Å, α = 90.00°, β = 90.00° and γ = 90.00°. The distinct sites, in fractional coordinates, are La at (0.0000, 0.0000, 0.0000), Zr at (0.0000, 0.0000, 0.5000) and Al at (0.5000, 0.5000, 0.2985).

The polymorph energy (0 for the lowest one) is 0.0 kJ/mol of atoms. The energy relative to the elements is -361 meV/atom. The calculated volume is 23.0 A^3/atom.



# 6
Computed, not measured: crystalline LaZrAl2 at its relaxed geometry at the PBE level of DFT.

It has space group I4/mmm (No. 139), with a = 4.6770 Å, b = 4.6770 Å, c = 8.3443 Å, α = 90.00°, β = 90.00° and γ = 90.00°. The distinct sites, in fractional coordinates, are La at (0.0000, 0.0000, 0.0000), Zr at (0.0000, 0.0000, 0.5000) and Al at (0.0000, 0.5000, 0.2500).

The polymorph energy (0 for the lowest one) is 10.0 kJ/mol of atoms. The energy relative to the elements is -258 meV/atom. The calculated volume is 22.8 A^3/atom.



# 7
Computed, not measured: crystalline LaZr3Al at its relaxed geometry at the PBE level of DFT.

It has space group Pm-3m (No. 221), with a = 5.0963 Å, b = 5.0963 Å, c = 5.0963 Å, α = 90.00°, β = 90.00° and γ = 90.00°. The distinct sites, in fractional coordinates, are La at (0.0000, 0.0000, 0.0000), Zr at (0.0000, 0.0000, 0.5000) and Al at (0.5000, 0.5000, 0.5000).

The polymorph energy (0 for the lowest one) is 71.3 kJ/mol of atoms. The energy relative to the elements is 1219 meV/atom. The calculated volume is 26.5 A^3/atom.



# 8
Computed, not measured: crystalline LaZr3Al at its relaxed geometry at the PBE level of DFT.

It has space group Pm-3m (No. 221), with a = 5.1842 Å, b = 5.1842 Å, c = 5.1842 Å, α = 90.00°, β = 90.00° and γ = 90.00°. The distinct sites, in fractional coordinates, are La at (0.0000, 0.0000, 0.0000), Zr at (0.0000, 0.5000, 0.5000) and Al at (0.5000, 0.5000, 0.5000).

The polymorph energy (0 for the lowest one) is 0.0 kJ/mol of atoms. The energy relative to the elements is 481 meV/atom. The calculated volume is 27.9 A^3/atom.



# 9
Computed, not measured: crystalline LaZrAl2 at its relaxed geometry at the PBE level of DFT.

It has space group R-3m (No. 166, hexagonal axes), with a = 3.5474 Å, b = 3.5474 Å, c = 27.0311 Å, α = 90.00°, β = 90.00° and γ = 120.00°. The distinct sites, in fractional coordinates, are La at (0.0000, 0.0000, 0.0000), Zr at (0.0000, 0.0000, 0.5000) and Al at (0.0000, 0.0000, 0.2424).

The polymorph energy (0 for the lowest one) is 29.3 kJ/mol of atoms. The energy relative to the elements is -58 meV/atom. The calculated volume is 24.5 A^3/atom.



# 10
Computed, not measured: crystalline LaZr4Al at its relaxed geometry at the PBE level of DFT.

It has space group F-43m (No. 216), with a = 8.4102 Å, b = 8.4102 Å, c = 8.4102 Å, α = 90.00°, β = 90.00° and γ = 90.00°. The distinct sites, in fractional coordinates, are La at (0.0000, 0.0000, 0.0000), Zr at (0.1267, 0.1267, 0.6267) and Al at (0.2500, 0.2500, 0.2500).

The energy relative to the elements is 251 meV/atom. The calculated volume is 24.8 A^3/atom.



# 11
Computed, not measured: crystalline LaZrAl2 at its relaxed geometry at the PBE level of DFT.

It has space group C2/m (No. 12), with a = 9.9023 Å, b = 3.4339 Å, c = 5.9989 Å, α = 90.00°, β = 103.72° and γ = 90.00°. The distinct sites, in fractional coordinates, are La at (0.0000, 0.0000, 0.0000), Zr at (0.0000, 0.5000, 0.5000) and Al at (0.2389, 0.0000, 0.6751).

The polymorph energy (0 for the lowest one) is 23.1 kJ/mol of atoms. The energy relative to the elements is -122 meV/atom. The calculated volume is 24.8 A^3/atom.



# 12
Computed, not measured: crystalline LiAl6 at its relaxed geometry at the PBE level of DFT.

It has space group Im-3m (No. 229), with a = 7.3555 Å, b = 7.3555 Å, c = 7.3555 Å, α = 90.00°, β = 90.00° and γ = 90.00°. The distinct sites, in fractional coordinates, are Li at (0.0000, 0.0000, 0.0000) and Al at (0.0000, 0.2500, 0.5000).

The polymorph energy (0 for the lowest one) is 49.5 kJ/mol of atoms. The energy relative to the elements is 589 meV/atom. The calculated volume is 28.4 A^3/atom.



# 13
Computed, not measured: crystalline Li4Al at its relaxed geometry at the PBE level of DFT.

It has space group Pm-3m (No. 221), with a = 5.0660 Å, b = 5.0660 Å, c = 5.0660 Å, α = 90.00°, β = 90.00° and γ = 90.00°. The distinct sites, in fractional coordinates, are Li at (0.0000, 0.0000, 0.0000), Li at (0.0000, 0.5000, 0.5000) and Al at (0.5000, 0.5000, 0.5000).

The polymorph energy (0 for the lowest one) is 35.0 kJ/mol of atoms. The energy relative to the elements is 281 meV/atom. The calculated volume is 26.0 A^3/atom.



# 14
Computed, not measured: crystalline Li2Al3 at its relaxed geometry at the PBE level of DFT.

It has space group R-3c (No. 167, hexagonal axes), with a = 4.8009 Å, b = 4.8009 Å, c = 28.2874 Å, α = 90.00°, β = 90.00° and γ = 120.00°. The distinct sites, in fractional coordinates, are Li at (0.0000, 0.0000, 0.1659) and Al at (0.0000, 0.3339, 0.2500).

The polymorph energy (0 for the lowest one) is 19.9 kJ/mol of atoms. The energy relative to the elements is 95 meV/atom. The calculated volume is 18.8 A^3/atom.